Entry from the Alexandria database: an optimized crystal structure of Tl2NiIr (GGA-PBE).

## Properties
DOS at the Fermi energy = 2.31 states/eV/f.u.
Calculated volume = 74.02 Å³ per cell
Electronic total energy = -4.337 eV/atom
Energy above the lowest structure with this stoichiometry = 0.151 eV per atom
DFT formation energy = 0.51 eV/atom

a b c (Å): 8.5407 8.5407 8.5407
angles (deg): 21.61 21.61 21.61
Sites, in units of the cell vectors:
Tl: 0.0034 0.0034 0.0034
Ni: 0.7500 0.7500 0.7500
Tl: 0.4966 0.4966 0.4966
Ir: 0.2500 0.2500 0.2500